# 1
Entry from the Open Quantum Materials Database: a relaxed SrInSnPd2 crystal (PBE-GGA).

Unit cell a=4.7002 b=4.7002 c=10.8455 alpha=90.00 beta=90.00 gamma=90.00
With the nearest neighbours (Å) after each atom.
Positions (direct):
Sr: 0.2500 0.2500 0.2407  8 Pd 3.51-3.59, 5 Sn 3.57-3.92, 4 In 3.67
Sr: 0.7500 0.7500 0.7593  8 Pd 3.51-3.59, 5 Sn 3.57-3.92, 4 In 3.67
In: 0.2500 0.7500 0.5000  4 Pd 2.77
In: 0.7500 0.2500 0.5000  4 Pd 2.77
Sn: 0.2500 0.2500 0.8792  5 Pd 2.65-2.69
Sn: 0.7500 0.7500 0.1208  5 Pd 2.65-2.69
Pd: 0.2500 0.2500 0.6347  1 Sn 2.65, 4 In 2.77
Pd: 0.2500 0.7500 0.0000  4 Sn 2.69
Pd: 0.7500 0.2500 0.0000  4 Sn 2.69
Pd: 0.7500 0.7500 0.3653  1 Sn 2.65, 4 In 2.77

Computed properties:
**Crystal system**: tetragonal
**Space-group type**: No. 129
**Uncorrected energy**: -4.44 eV per atom

=====

# 2
Entry from the Open Quantum Materials Database: a relaxed SrInSnPd2 crystal (PBE-GGA).

Unit cell a=4.8406 b=4.6960 c=10.5027 alpha=90.00 beta=92.51 gamma=90.00
With the nearest neighbours (Å) after each atom.
Positions (direct):
Sr: 0.2338 0.2500 0.2416  5 Pd 3.19-3.57, 2 In 3.57, 2 Sn 3.57
Sr: 0.7662 0.7500 0.7584  5 Pd 3.19-3.57, 2 In 3.57, 2 Sn 3.57
In: 0.2444 0.7500 0.4975  4 Pd 2.75-2.79
In: 0.7556 0.2500 0.5025  4 Pd 2.75-2.79
Sn: 0.2971 0.2500 0.8865  5 Pd 2.64-2.70
Sn: 0.7029 0.7500 0.1135  5 Pd 2.64-2.70
Pd: 0.1909 0.7500 0.0000  4 Sn 2.69-2.70, 2 Pd 2.99
Pd: 0.2687 0.2500 0.6347  1 Sn 2.64, 4 In 2.75-2.79
Pd: 0.7313 0.7500 0.3653  1 Sn 2.64, 4 In 2.75-2.79
Pd: 0.8091 0.2500 0.0000  4 Sn 2.69-2.70, 2 Pd 2.99

Computed properties:
**Crystal system**: monoclinic
**Space-group type**: No. 11
**Uncorrected energy**: -4.44 eV per atom